This record from the Alexandria database describes crystalline Nb3CdNi at its relaxed geometry. The functional is PBEsol.

a = 4.901 Å, b = 4.901 Å, c = 4.901 Å
α = 90.00°, β = 90.00°, γ = 90.00°
Last column: magnetic moment on the atom in μB.
Fractional coordinates of all 5 atoms:
Ni 0.500 0.500 0.500  0.68
Nb 0.000 0.500 0.000  0.46
Nb 0.000 0.000 0.500  0.46
Nb 0.500 0.000 0.000  0.46
Cd 0.000 0.000 0.000  0.04

E (eV/atom): -5.5574
SG: No. 221

***

This record from the Alexandria database describes crystalline NbTlCdNi2 at its relaxed geometry. The functional is PBEsol.

a = 4.554 Å, b = 4.554 Å, c = 5.382 Å
α = 90.00°, β = 90.00°, γ = 90.00°
Fractional coordinates of all 5 atoms:
Ni 0.000 0.500 0.000
Ni 0.500 0.000 0.000
Tl 0.000 0.000 0.500
Nb 0.000 0.000 0.000
Cd 0.500 0.500 0.500

E (eV/atom): -4.2076
SG: No. 123

***

This record from the Alexandria database describes crystalline NbZnCdNi2 at its relaxed geometry. The functional is PBEsol.

a = 4.473 Å, b = 4.473 Å, c = 5.343 Å
α = 90.00°, β = 90.00°, γ = 90.00°
Fractional coordinates of all 5 atoms:
Ni 0.000 0.500 0.000
Ni 0.500 0.000 0.000
Nb 0.000 0.000 0.000
Zn 0.500 0.500 0.500
Cd 0.000 0.000 0.500

E (eV/atom): -3.7688
SG: No. 123

***

This record from the Alexandria database describes crystalline ZrNb2CdNi at its relaxed geometry. The functional is PBEsol.

a = 4.608 Å, b = 4.608 Å, c = 4.783 Å
α = 90.00°, β = 90.00°, γ = 90.00°
Fractional coordinates of all 5 atoms:
Ni 0.000 0.000 0.000
Nb 0.000 0.500 0.000
Nb 0.500 0.000 0.000
Zr 0.000 0.000 0.500
Cd 0.500 0.500 0.500

E (eV/atom): -7.0562
SG: No. 123

***

This record from the Alexandria database describes crystalline Nb3CdO at its relaxed geometry. The functional is PBEsol.

a = 4.268 Å, b = 4.268 Å, c = 4.268 Å
α = 90.00°, β = 90.00°, γ = 90.00°
Fractional coordinates of all 5 atoms:
Nb 0.000 0.500 0.000
Nb 0.000 0.000 0.500
Nb 0.500 0.000 0.000
O 0.000 0.000 0.000
Cd 0.500 0.500 0.500

SG: No. 221
Raw formation energy (eV per atom): -0.616

***

This record from the Alexandria database describes crystalline NbCdP2O at its relaxed geometry. The functional is PBEsol.

a = 3.872 Å, b = 4.814 Å, c = 4.814 Å
α = 90.00°, β = 90.00°, γ = 90.00°
Last column: magnetic moment on the atom in μB.
Fractional coordinates of all 5 atoms:
P 0.000 0.000 0.500  -0.08
P 0.000 0.500 0.000  -0.08
Nb 0.500 0.500 0.500  0.99
O 0.500 0.000 0.000  -0.07
Cd 0.000 0.000 0.000  -0.01

SG: No. 123
Raw formation energy (eV per atom): 0.939

***

This record from the Alexandria database describes crystalline NbCdOs3 at its relaxed geometry. The functional is PBEsol.

a = 4.645 Å, b = 4.645 Å, c = 4.645 Å
α = 90.00°, β = 90.00°, γ = 90.00°
Fractional coordinates of all 5 atoms:
Nb 0.500 0.500 0.500
Os 0.000 0.500 0.000
Os 0.000 0.000 0.500
Os 0.500 0.000 0.000
Cd 0.000 0.000 0.000

E (eV/atom): -6.8191
SG: No. 221

***

This record from the Alexandria database describes crystalline NbCdP3 at its relaxed geometry. The functional is PBEsol.

a = 4.746 Å, b = 4.746 Å, c = 4.746 Å
α = 90.00°, β = 90.00°, γ = 90.00°
Last column: magnetic moment on the atom in μB.
Fractional coordinates of all 5 atoms:
P 0.000 0.500 0.000  -0.09
P 0.000 0.000 0.500  -0.09
P 0.500 0.000 0.000  -0.09
Nb 0.500 0.500 0.500  1.75
Cd 0.000 0.000 0.000  0.00

E (eV/atom): -4.3755
SG: No. 221

***

This record from the Alexandria database describes crystalline NbCd3P at its relaxed geometry. The functional is PBEsol.

a = 4.905 Å, b = 4.905 Å, c = 4.905 Å
α = 90.00°, β = 90.00°, γ = 90.00°
Last column: magnetic moment on the atom in μB.
Fractional coordinates of all 5 atoms:
P 0.000 0.000 0.000  0.09
Nb 0.500 0.500 0.500  2.22
Cd 0.000 0.500 0.000  0.00
Cd 0.000 0.000 0.500  0.00
Cd 0.500 0.000 0.000  0.00

E (eV/atom): -2.9782
SG: No. 221

***

This record from the Alexandria database describes crystalline ScNbCdP2 at its relaxed geometry. The functional is PBEsol.

a = 4.774 Å, b = 4.774 Å, c = 5.090 Å
α = 90.00°, β = 90.00°, γ = 90.00°
Last column: magnetic moment on the atom in μB.
Fractional coordinates of all 5 atoms:
Sc 0.500 0.500 0.500  0.01
P 0.000 0.500 0.000  -0.01
P 0.500 0.000 0.000  -0.01
Nb 0.000 0.000 0.500  0.76
Cd 0.000 0.000 0.000  0.02

E (eV/atom): -4.7747
SG: No. 123

***

This record from the Alexandria database describes crystalline Nb3CdPd at its relaxed geometry. The functional is PBEsol.

a = 4.893 Å, b = 4.893 Å, c = 4.893 Å
α = 90.00°, β = 90.00°, γ = 90.00°
Last column: magnetic moment on the atom in μB.
Fractional coordinates of all 5 atoms:
Nb 0.000 0.500 0.000  0.44
Nb 0.000 0.000 0.500  0.44
Nb 0.500 0.000 0.000  0.44
Pd 0.500 0.500 0.500  0.08
Cd 0.000 0.000 0.000  0.04

E (eV/atom): -5.7772
SG: No. 221

***

This record from the Alexandria database describes crystalline NbCdSb2Pd at its relaxed geometry. The functional is PBEsol.

a = 4.908 Å, b = 5.078 Å, c = 5.078 Å
α = 90.00°, β = 90.00°, γ = 90.00°
Last column: magnetic moment on the atom in μB.
Fractional coordinates of all 5 atoms:
Sb 0.000 0.000 0.500  -0.05
Sb 0.000 0.500 0.000  -0.05
Nb 0.500 0.500 0.500  2.26
Pd 0.000 0.000 0.000  -0.01
Cd 0.500 0.000 0.000  0.01

SG: No. 123
Raw formation energy (eV per atom): 0.770

***

This record from the Alexandria database describes crystalline ScNbCdPd2 at its relaxed geometry. The functional is PBEsol.

a = 4.809 Å, b = 4.809 Å, c = 4.889 Å
α = 90.00°, β = 90.00°, γ = 90.00°
Fractional coordinates of all 5 atoms:
Sc 0.000 0.000 0.500
Nb 0.000 0.000 0.000
Pd 0.000 0.500 0.000
Pd 0.500 0.000 0.000
Cd 0.500 0.500 0.500

E (eV/atom): -5.3447
SG: No. 123

***

This record from the Alexandria database describes crystalline NbCdRe2Si at its relaxed geometry. The functional is PBEsol.

a = 4.665 Å, b = 4.665 Å, c = 5.218 Å
α = 90.00°, β = 90.00°, γ = 90.00°
Fractional coordinates of all 5 atoms:
Re 0.000 0.500 0.000
Re 0.500 0.000 0.000
Nb 0.000 0.000 0.000
Si 0.500 0.500 0.500
Cd 0.000 0.000 0.500

SG: No. 123
Raw formation energy (eV per atom): 2.283

***

This record from the Alexandria database describes crystalline NbCd2Ru at its relaxed geometry. The functional is PBEsol.

a = 4.577 Å, b = 4.577 Å, c = 4.577 Å
α = 60.00°, β = 60.00°, γ = 60.00°
Fractional coordinates of all 4 atoms:
Ru 0.500 0.500 0.500
Nb 0.000 0.000 0.000
Cd 0.250 0.250 0.250
Cd 0.750 0.750 0.750

E (eV/atom): -5.4256
SG: No. 225

***

This record from the Alexandria database describes crystalline NbCdRu3 at its relaxed geometry. The functional is PBEsol.

a = 4.649 Å, b = 4.649 Å, c = 4.649 Å
α = 90.00°, β = 90.00°, γ = 90.00°
Last column: magnetic moment on the atom in μB.
Fractional coordinates of all 5 atoms:
Ru 0.000 0.500 0.000  0.50
Ru 0.000 0.000 0.500  0.50
Ru 0.500 0.000 0.000  0.50
Nb 0.000 0.000 0.000  -0.08
Cd 0.500 0.500 0.500  -0.01

E (eV/atom): -6.9494
SG: No. 221

***

This record from the Alexandria database describes crystalline TiNb2CdS at its relaxed geometry. The functional is PBEsol.

a = 4.546 Å, b = 4.546 Å, c = 4.752 Å
α = 90.00°, β = 90.00°, γ = 90.00°
Last column: magnetic moment on the atom in μB.
Fractional coordinates of all 5 atoms:
Nb 0.000 0.500 0.000  0.00
Nb 0.500 0.000 0.000  0.00
Ti 0.500 0.500 0.500  0.26
S 0.000 0.000 0.000  0.01
Cd 0.000 0.000 0.500  0.00

SG: No. 123
Raw formation energy (eV per atom): 0.384

***

This record from the Alexandria database describes crystalline NbCdSb2 at its relaxed geometry. The functional is PBEsol.

a = 6.479 Å, b = 6.479 Å, c = 7.659 Å
α = 115.02°, β = 115.02°, γ = 90.00°
Last column: magnetic moment on the atom in μB.
Fractional coordinates of all 8 atoms:
Sb 0.394 0.875 0.250  -0.04
Sb 0.856 0.375 0.250  -0.04
Sb 0.125 0.144 0.750  -0.04
Sb 0.625 0.606 0.750  -0.04
Nb 0.750 0.250 0.500  0.81
Nb 0.500 0.500 0.000  0.81
Cd 0.250 0.750 0.500  0.01
Cd 0.000 0.000 0.000  0.01

SG: No. 122
Raw formation energy (eV per atom): 0.465

***

This record from the Alexandria database describes crystalline NbCdSb2Te at its relaxed geometry. The functional is PBEsol.

a = 5.287 Å, b = 5.353 Å, c = 5.353 Å
α = 90.00°, β = 90.00°, γ = 90.00°
Fractional coordinates of all 5 atoms:
Sb 0.000 0.000 0.500
Sb 0.000 0.500 0.000
Nb 0.000 0.000 0.000
Te 0.500 0.000 0.000
Cd 0.500 0.500 0.500

SG: No. 123
Raw formation energy (eV per atom): 0.329

***

This record from the Alexandria database describes crystalline ScTaNbCd2 at its relaxed geometry. The functional is PBEsol.

a = 4.611 Å, b = 4.959 Å, c = 4.959 Å
α = 90.00°, β = 90.00°, γ = 90.00°
Fractional coordinates of all 5 atoms:
Sc 0.000 0.000 0.000
Nb 0.500 0.500 0.500
Cd 0.000 0.000 0.500
Cd 0.000 0.500 0.000
Ta 0.500 0.000 0.000

E (eV/atom): -4.7988
SG: No. 123